NiOs2PdF: optimized geometry, PBE+U.

The structure belongs to space group P4/mmm (No. 123); the cell edges are 4.155, 4.155 and 4.060 Å and the angles 90.00°, 90.00° and 90.00°. Symmetry generates all atoms from Ni at (0.000, 0.000, 0.000), Os at (0.000, 0.500, 0.500), Pd at (0.500, 0.500, 0.000) and F at (0.000, 0.000, 0.500).

The value obtained for the mass density is 13377 kg/m³. The value obtained for the total energy is -0.1805 Ha/atom. The value obtained for the density of states at the Fermi level is 7.35 states/eV/cell.